1.
A relaxed ReSI2N crystal. Source: Alexandria via LeMat-Bulk, functional PBE-GGA.

Properties
* spin magnetization: 0.50 μB/f.u.
* raw formation energy: 0.739 eV/atom
* crystal system: tetragonal

a b c (Å): 5.507 5.507 3.770
angles (deg): 90.00 90.00 90.00
Sites, in units of the cell vectors:
Re  0.000  0.000  0.000
S  0.500  0.500  0.500
I  0.000  0.500  0.000
I  0.500  0.000  0.000
N  0.000  0.000  0.500

2.
A relaxed ReSb2IN crystal. Source: Alexandria via LeMat-Bulk, functional PBE-GGA.

Properties
* spin magnetization: 0.03 μB/f.u.
* raw formation energy: 1.798 eV/atom
* crystal system: tetragonal

a b c (Å): 5.061 5.061 5.605
angles (deg): 90.00 90.00 90.00
Sites, in units of the cell vectors:
Re  0.000  0.000  0.000
Sb  0.000  0.500  0.000
Sb  0.500  0.000  0.000
I  0.000  0.000  0.500
N  0.500  0.500  0.500

3.
A relaxed ReSb2IN crystal. Source: Alexandria via LeMat-Bulk, functional PBE-GGA.

Properties
* spin magnetization: 0.18 μB/f.u.
* raw formation energy: 1.436 eV/atom
* crystal system: tetragonal

a b c (Å): 4.606 4.606 4.618
angles (deg): 90.00 90.00 90.00
Sites, in units of the cell vectors:
Re  0.000  0.000  0.000
Sb  0.000  0.500  0.500
Sb  0.500  0.000  0.500
I  0.500  0.500  0.000
N  0.500  0.500  0.500

4.
A relaxed ScReIN2 crystal. Source: Alexandria via LeMat-Bulk, functional PBE-GGA.

Properties
* spin magnetization: 0.00 μB/f.u.
* raw formation energy: 0.438 eV/atom
* crystal system: tetragonal

a b c (Å): 3.956 3.956 5.572
angles (deg): 90.00 90.00 90.00
Sites, in units of the cell vectors:
Sc  0.000  0.000  0.000
Re  0.500  0.500  0.500
I  0.500  0.500  0.000
N  0.000  0.500  0.500
N  0.500  0.000  0.500

5.
A relaxed ScReIN2 crystal. Source: Alexandria via LeMat-Bulk, functional PBE-GGA.

Properties
* spin magnetization: 4.57 μB/f.u.
* raw formation energy: 1.532 eV/atom
* crystal system: tetragonal

a b c (Å): 4.101 4.101 5.997
angles (deg): 90.00 90.00 90.00
Sites, in units of the cell vectors:
Sc  0.000  0.000  0.000
Re  0.500  0.500  0.500
I  0.000  0.000  0.500
N  0.000  0.500  0.000
N  0.500  0.000  0.000

6.
A relaxed ReSeI2N crystal. Source: Alexandria via LeMat-Bulk, functional PBE-GGA.

Properties
* spin magnetization: 0.00 μB/f.u.
* raw formation energy: 0.630 eV/atom
* crystal system: tetragonal

a b c (Å): 5.544 5.544 3.786
angles (deg): 90.00 90.00 90.00
Sites, in units of the cell vectors:
Re  0.000  0.000  0.000
Se  0.500  0.500  0.500
I  0.000  0.500  0.000
I  0.500  0.000  0.000
N  0.000  0.000  0.500

7.
A relaxed ReSeI2N crystal. Source: Alexandria via LeMat-Bulk, functional PBE-GGA.

Properties
* spin magnetization: 4.54 μB/f.u.
* raw formation energy: 1.805 eV/atom
* crystal system: tetragonal

a b c (Å): 6.036 6.036 3.654
angles (deg): 90.00 90.00 90.00
Sites, in units of the cell vectors:
Re  0.000  0.000  0.000
Se  0.500  0.500  0.500
I  0.000  0.500  0.500
I  0.500  0.000  0.500
N  0.500  0.500  0.000

8.
A relaxed ReTcIN2 crystal. Source: Alexandria via LeMat-Bulk, functional PBE-GGA.

Properties
* spin magnetization: 3.48 μB/f.u.
* raw formation energy: 1.641 eV/atom
* crystal system: tetragonal

a b c (Å): 3.900 3.900 5.762
angles (deg): 90.00 90.00 90.00
Sites, in units of the cell vectors:
Re  0.000  0.000  0.000
Tc  0.500  0.500  0.500
I  0.500  0.500  0.000
N  0.000  0.500  0.500
N  0.500  0.000  0.500

no.,ΔE to the lowest computed polymorph (meV per atom)
1,0
2,362
3,0
4,0
5,1093
6,0
7,1175
8,428